First-principles (PBE-GGA) data for crystalline PrCd4Ag2 at its relaxed geometry, as listed in the Alexandria database.

Geometry as POSCAR:
```
PrCd4Ag2
1.0
4.9673 -0.0129 2.6385
2.2987 5.2492 1.6324
-0.0067 -0.4023 5.9450
Pr Ag Cd
1 2 4
direct
0.0000 0.0000 0.0000
0.7502 0.4993 0.4993
0.2497 0.5007 0.5007
0.6960 0.6094 0.9992
0.3040 0.3906 0.0008
0.6960 0.9992 0.6094
0.3040 0.0008 0.3906
```

formation enthalpy at 0 K: -130 kJ/mol of formula units
DFT total energy: -15.5 eV for the cell shown
spin magnetization: 0.00 μB per atom
relative energy among the computed polymorphs: 0.00 kcal/mol of atoms